P.
Density functional theory data (PBE with a Hubbard U) for crystalline V3TcF at its relaxed geometry.

## Properties
- Calculated volume: 113.2 Å³/f.u.
- DOS(E_F): 2.54 states/eV/f.u.

```
V3TcF
1.0
4.8381 0.0000 0.0000
0.0000 4.8381 0.0000
0.0000 0.0000 4.8381
V Tc F
3 1 1
direct
0.0000 0.0000 0.5000 V
0.0000 0.5000 0.0000 V
0.5000 0.0000 0.0000 V
0.0000 0.0000 0.0000 Tc
0.5000 0.5000 0.5000 F
```



Q.
Density functional theory data (PBE with a Hubbard U) for crystalline V3TcF at its relaxed geometry.

## Properties
- Calculated volume: 78.1 Å³/f.u.
- DOS(E_F): 3.99 states/eV/f.u.

```
V3TcF
1.0
4.2751 0.0000 0.0000
0.0000 4.2751 0.0000
0.0000 0.0000 4.2751
V Tc F
3 1 1
direct
0.0000 0.0000 0.5000 V
0.0000 0.5000 0.0000 V
0.5000 0.0000 0.0000 V
0.5000 0.5000 0.5000 Tc
0.0000 0.0000 0.0000 F
```



Best to worst by energy: Q, P.



P.
Density functional theory data (PBE with a Hubbard U) for crystalline VTc2F at its relaxed geometry.

## Properties
- Calculated volume: 53.7 Å³/f.u.
- DOS(E_F): 2.62 states/eV/f.u.

```
VTc2F
1.0
0.0000 2.9942 2.9942
2.9942 0.0000 2.9942
2.9942 2.9942 0.0000
V Tc F
1 2 1
direct
0.0000 0.0000 0.0000 V
0.2500 0.2500 0.2500 Tc
0.7500 0.7500 0.7500 Tc
0.5000 0.5000 0.5000 F
```



Q.
Density functional theory data (PBE with a Hubbard U) for crystalline VTc2F at its relaxed geometry.

## Properties
- Calculated volume: 61.8 Å³/f.u.
- DOS(E_F): 4.07 states/eV/f.u.

```
VTc2F
1.0
-3.8398 3.8398 2.0970
3.8398 -3.8398 2.0970
3.8398 3.8398 -2.0970
V Tc F
2 4 2
direct
0.0000 0.0000 0.0000 V
0.7500 0.2500 0.5000 V
0.1979 0.6250 0.0729 Tc
0.3750 0.4479 0.5729 Tc
0.5521 0.1250 0.9271 Tc
0.8750 0.8021 0.4271 Tc
0.2500 0.7500 0.5000 F
0.5000 0.5000 0.0000 F
```



Best to worst by energy: Q, P.



P.
Density functional theory data (PBE with a Hubbard U) for crystalline VTcF3 at its relaxed geometry.

## Properties
- Calculated volume: 73.8 Å³/f.u.
- DOS(E_F): 3.26 states/eV/f.u.

```
VTcF3
1.0
4.1941 0.0000 0.0000
0.0000 4.1941 0.0000
0.0000 0.0000 4.1941
V Tc F
1 1 3
direct
0.0000 0.0000 0.0000 V
0.5000 0.5000 0.5000 Tc
0.0000 0.0000 0.5000 F
0.0000 0.5000 0.0000 F
0.5000 0.0000 0.0000 F
```



Q.
Density functional theory data (PBE with a Hubbard U) for crystalline VTcF3 at its relaxed geometry.

## Properties
- Calculated volume: 74.8 Å³/f.u.
- DOS(E_F): 10.76 states/eV/f.u.

```
VTcF3
1.0
4.2131 0.0000 0.0000
0.0000 4.2131 0.0000
0.0000 0.0000 4.2131
V Tc F
1 1 3
direct
0.0000 0.0000 0.0000 V
0.5000 0.5000 0.5000 Tc
0.0000 0.5000 0.5000 F
0.5000 0.0000 0.5000 F
0.5000 0.5000 0.0000 F
```



Best to worst by energy: P, Q.



P.
Density functional theory data (PBE with a Hubbard U) for crystalline TcWF2 at its relaxed geometry.

## Properties
- Calculated volume: 54.0 Å³/f.u.
- DOS(E_F): 3.58 states/eV/f.u.

```
TcWF2
1.0
1.3664 0.7889 8.3526
-1.3664 0.7889 8.3526
0.0000 -1.5778 8.3526
Tc W F
1 1 2
direct
0.0000 0.0000 0.0000 Tc
0.5000 0.5000 0.5000 W
0.4187 0.4187 0.4187 F
0.5813 0.5813 0.5813 F
```



Q.
Density functional theory data (PBE with a Hubbard U) for crystalline TcWF2 at its relaxed geometry.

## Properties
- Calculated volume: 53.9 Å³/f.u.
- DOS(E_F): 3.13 states/eV/f.u.

```
TcWF2
1.0
1.3547 0.7821 8.4779
-1.3547 0.7821 8.4779
0.0000 -1.5643 8.4779
Tc W F
1 1 2
direct
0.0000 0.0000 0.0000 Tc
0.5000 0.5000 0.5000 W
0.0794 0.0794 0.0794 F
0.9206 0.9206 0.9206 F
```



Best to worst by energy: P, Q.



P.
Density functional theory data (PBE with a Hubbard U) for crystalline TcWF2 at its relaxed geometry.

## Properties
- Calculated volume: 53.0 Å³/f.u.
- DOS(E_F): 2.40 states/eV/f.u.

```
TcWF2
1.0
-1.8223 1.8223 7.9876
1.8223 -1.8223 7.9876
1.8223 1.8223 -7.9876
Tc W F
2 2 4
direct
0.0000 0.0000 0.0000 Tc
0.7500 0.2500 0.5000 Tc
0.2500 0.7500 0.5000 W
0.5000 0.5000 0.0000 W
0.1498 0.6250 0.0248 F
0.3750 0.3998 0.5248 F
0.6002 0.1250 0.9752 F
0.8750 0.8502 0.4752 F
```



Q.
Density functional theory data (PBE with a Hubbard U) for crystalline TcWF2 at its relaxed geometry.

## Properties
- Calculated volume: 54.4 Å³/f.u.
- DOS(E_F): 3.68 states/eV/f.u.

```
TcWF2
1.0
0.0000 3.0065 3.0065
3.0065 0.0000 3.0065
3.0065 3.0065 0.0000
Tc W F
1 1 2
direct
0.0000 0.0000 0.0000 Tc
0.5000 0.5000 0.5000 W
0.2500 0.2500 0.2500 F
0.7500 0.7500 0.7500 F
```



Best to worst by energy: P, Q.